Run one
VASP calculation (PBEsol) on crystalline BeMo2Au at its relaxed geometry.

Lattice parameters (Å, degrees): 2.751 4.067 5.086 90.00 90.00 90.00
Sites, in units of the cell vectors:
Be1 0.000 0.000 0.000
Mo1 0.500 0.500 0.228
Mo2 0.500 0.500 0.772
Au1 0.000 0.000 0.500

Run two
VASP calculation (PBEsol) on crystalline BeMo2Au at its relaxed geometry.

Lattice parameters (Å, degrees): 2.699 2.699 7.541 90.00 90.00 90.00
Sites, in units of the cell vectors:
Be1 0.000 0.000 0.000
Mo1 0.500 0.500 0.210
Mo2 0.500 0.500 0.790
Au1 0.000 0.000 0.500

Run three
VASP calculation (PBEsol) on crystalline BeMo2Au at its relaxed geometry.

Lattice parameters (Å, degrees): 3.139 3.139 5.819 90.00 90.00 90.00
Sites, in units of the cell vectors:
Be1 0.000 0.000 0.000
Mo1 0.000 0.000 0.457
Mo2 0.500 0.500 0.233
Au1 0.500 0.500 0.772

Stability order, top to bottom: run two, run three, run one

Run one
VASP calculation (PBEsol) on crystalline BePtAu at its relaxed geometry.

Lattice parameters (Å, degrees): 5.878 5.878 5.878 90.00 90.00 90.00
Sites, in units of the cell vectors:
Be1 0.000 0.000 0.000
Be2 0.000 0.500 0.500
Be3 0.500 0.000 0.500
Be4 0.500 0.500 0.000
Pt1 0.000 0.000 0.500
Pt2 0.000 0.500 0.000
Pt3 0.500 0.000 0.000
Pt4 0.500 0.500 0.500
Au1 0.250 0.250 0.750
Au2 0.250 0.750 0.250
Au3 0.750 0.250 0.250
Au4 0.750 0.750 0.750

Run two
VASP calculation (PBEsol) on crystalline BePtAu at its relaxed geometry.

Lattice parameters (Å, degrees): 4.042 4.042 2.938 90.00 90.00 120.00
Sites, in units of the cell vectors:
Be1 0.000 0.000 0.000
Pt1 0.333 0.667 0.104
Au1 0.667 0.333 0.604

Stability order, top to bottom: run two, run one